Th7In2Tc2, relaxed, DFT PBE; energy relative to the elements = -0.14 eV/atom; mass density = 10.66 g/cm³; crystal system = orthorhombic; magnetic moment = 0.0 μB/cell; symmetry = No. 44; V = 29.02 A^3/atom
1.0
-1.897 8.286 5.078
1.897 -8.286 5.078
1.897 8.286 -5.078
Th In Tc
7 2 2
direct
0.000 0.000 0.000
0.034 0.357 0.677
0.072 0.728 0.344
0.385 0.728 0.656
0.419 0.561 0.858
0.680 0.357 0.323
0.702 0.561 0.142
0.329 0.329 0.000
0.715 0.215 0.500
0.271 0.047 0.224
0.823 0.047 0.776